BeRh4W | PBE | relaxed

Computed properties:
* crystal system: cubic
* total magnetic moment: 0.00 μB per cell
* density of states at the Fermi level: 4.38 states/eV/cell
* total energy: -7.32 eV per atom
* energy relative to the elements: 0.361 eV/atom
* SG: F-43m, No. 216

Lattice parameters (Å, degrees): 5.0213 5.0213 5.0213 60.00 60.00 60.00
Last column: nearest neighbours and their distance in Å.
Positions (direct):
Rh: 0.3744 0.3744 0.8767  6 Rh 2.50-2.52
Rh: 0.3744 0.8767 0.3744  6 Rh 2.50-2.52
Be: 0.0000 0.0000 0.0000  12 Rh 2.94, 4 W 3.07
W: 0.7500 0.7500 0.7500  12 Rh 2.95, 4 Be 3.07
Rh: 0.3744 0.3744 0.3744  6 Rh 2.50-2.52
Rh: 0.8767 0.3744 0.3744  6 Rh 2.50-2.52


ScAsClO4 | PBE | relaxed

Computed properties:
* crystal system: monoclinic
* total magnetic moment: 0.00 μB per cell
* density of states at the Fermi level: 0.00 states/eV/cell
* total energy: -6.46 eV per atom
* E_form (uncorrected): -1795.4 meV per atom
* SG: C2/m, No. 12

Lattice parameters (Å, degrees): 6.2661 6.2661 6.5257 78.46 78.46 61.13
Last column: nearest neighbours and their distance in Å.
Positions (direct):
O: 0.5157 0.5157 0.2470  1 As 1.71
Cl: 0.0252 0.0252 0.1368  1 Cl 1.98
O: 0.1049 0.5005 0.1398  1 As 1.74
O: 0.4843 0.4843 0.7530  1 As 1.71
Cl: 0.9748 0.9748 0.8632  1 Cl 1.98
O: 0.8951 0.4995 0.8602  1 As 1.74
As: 0.6465 0.6465 0.7149  4 O 1.69-1.74
O: 0.7236 0.7236 0.4588  1 As 1.69
Sc: 0.2927 0.2927 0.8503  4 O 2.02-2.18
As: 0.3535 0.3535 0.2851  4 O 1.69-1.74
Sc: 0.7073 0.7073 0.1497  4 O 2.02-2.18
O: 0.2764 0.2764 0.5412  1 As 1.69
O: 0.5005 0.1049 0.1398  1 As 1.74
O: 0.4995 0.8951 0.8602  1 As 1.74


SrTaIn3 | PBE | relaxed

Computed properties:
* crystal system: cubic
* total magnetic moment: 0.00 μB per cell
* density of states at the Fermi level: 1.70 states/eV/cell
* E above lowest polymorph: 0 kJ/mol of formula units
* total energy: -4.22 eV per atom
* energy relative to the elements: 0.131 eV/atom
* SG: Pm-3m, No. 221

Lattice parameters (Å, degrees): 5.4173 5.4173 5.4173 90.00 90.00 90.00
Last column: nearest neighbours and their distance in Å.
Positions (direct):
In: 0.5000 0.0000 0.0000  2 Ta 2.71
In: 0.0000 0.0000 0.5000  2 Ta 2.71
Ta: 0.0000 0.0000 0.0000  6 In 2.71
In: 0.0000 0.5000 0.0000  2 Ta 2.71
Sr: 0.5000 0.5000 0.5000  12 In 3.83


AgBiAs2 | PBE | relaxed

Computed properties:
* crystal system: trigonal
* total magnetic moment: 0.00 μB per cell
* density of states at the Fermi level: 2.43 states/eV/cell
* total energy: -3.86 eV per atom
* energy relative to the elements: 0.153 eV/atom
* SG: R-3m, No. 166

Lattice parameters (Å, degrees): 4.1168 4.1168 6.8121 72.41 72.41 60.00
Last column: nearest neighbours and their distance in Å.
Positions (direct):
As: 0.2614 0.2614 0.2159  3 Ag 2.75, 3 Bi 2.99
As: 0.7386 0.7386 0.7841  3 Ag 2.75, 3 Bi 2.99
Bi: 0.5000 0.5000 0.5000  6 As 2.99
Ag: 0.0000 0.0000 0.0000  6 As 2.75


Pu3Co | PBE | relaxed

Computed properties:
* crystal system: orthorhombic
* total magnetic moment: 15.95 μB per cell
* density of states at the Fermi level: 18.47 states/eV/cell
* E above lowest polymorph: 28 kJ/mol of formula units
* total energy: -12.35 eV per atom
* energy relative to the elements: 0.180 eV/atom
* SG: Immm, No. 71

Lattice parameters (Å, degrees): 3.5315 5.2273 5.7524 117.02 107.88 90.00
Last column: nearest neighbours and their distance in Å.
Positions (direct):
Pu: 0.7047 0.1214 0.4095  2 Co 2.65
Pu: 0.2953 0.7119 0.5905  2 Co 2.65
Pu: 0.5000 0.4167 0.0000  4 Co 3.15, 10 Pu 3.27-3.53
Co: 0.0000 0.9166 0.0000  4 Pu 2.65


ZrW2Cl | PBE | relaxed

Computed properties:
* crystal system: tetragonal
* total magnetic moment: 0.00 μB per cell
* density of states at the Fermi level: 4.23 states/eV/cell
* E above lowest polymorph: 37 kJ/mol of formula units
* total energy: -9.01 eV per atom
* E_form (uncorrected): 63.4 meV per atom
* SG: P4mm, No. 99

Lattice parameters (Å, degrees): 3.1792 3.1792 8.2412 90.00 90.00 90.00
Last column: nearest neighbours and their distance in Å.
Positions (direct):
W: 0.0000 0.0000 0.0817  4 W 2.61
W: 0.5000 0.5000 0.2435  4 W 2.61
Cl: 0.5000 0.5000 0.6981  4 Zr 2.90, 4 Cl 3.18
Zr: 0.0000 0.0000 0.4767  4 Cl 2.90, 4 W 2.96, 4 Zr 3.18


TlIr2Os | PBE | relaxed

Computed properties:
* crystal system: monoclinic
* total magnetic moment: 0.00 μB per cell
* density of states at the Fermi level: 2.92 states/eV/cell
* E above lowest polymorph: 46 kJ/mol of formula units
* total energy: -7.34 eV per atom
* energy relative to the elements: 0.491 eV/atom
* SG: P2/m, No. 10

Lattice parameters (Å, degrees): 3.5800 2.7911 7.2505 79.13 90.00 90.00
Last column: nearest neighbours and their distance in Å.
Positions (direct):
Ir: 0.0000 0.6622 0.4432  4 Os 2.64-2.66, 3 Ir 2.75-2.79, 2 Tl 2.90
Os: 0.5000 0.2500 0.2500  8 Ir 2.64-2.66, 2 Os 2.79
Ir: 0.0000 0.8378 0.0568  4 Os 2.64-2.66, 3 Ir 2.75-2.79, 2 Tl 2.90
Tl: 0.5000 0.7500 0.7500  2 Tl 2.79, 4 Ir 2.90


PmY7Tm2 | PBE | relaxed

Computed properties:
* crystal system: orthorhombic
* total magnetic moment: 0.00 μB per cell
* density of states at the Fermi level: 14.42 states/eV/cell
* E above lowest polymorph: 456 kJ/mol of formula units
* total energy: -5.20 eV per atom
* energy relative to the elements: 0.694 eV/atom
* SG: Cmmm, No. 65

Lattice parameters (Å, degrees): 5.6753 9.0506 9.0507 121.50 90.00 90.00
Last column: nearest neighbours and their distance in Å.
Positions (direct):
Pm: 0.0000 0.0000 0.0000  10 Y 3.56-3.74
Y: 0.5000 0.5000 0.5000  2 Tm 3.21, 4 Y 3.40
Y: 0.5000 0.9397 0.7043  2 Y 3.15-3.40, 2 Tm 3.15-3.23
Tm: 0.5000 0.7035 0.2965  7 Y 3.05-3.23
Y: 0.0000 0.7745 0.2255  2 Tm 3.05
Y: 0.0000 0.2255 0.7745  2 Tm 3.05
Y: 0.5000 0.0603 0.2957  2 Y 3.15-3.40, 2 Tm 3.15-3.23
Tm: 0.5000 0.2965 0.7035  7 Y 3.05-3.23
Y: 0.5000 0.2957 0.0603  2 Y 3.15-3.40, 2 Tm 3.15-3.23
Y: 0.5000 0.7043 0.9397  2 Y 3.15-3.40, 2 Tm 3.15-3.23


Sn4SbTe7 | PBE | relaxed

Computed properties:
* crystal system: trigonal
* total magnetic moment: 0.00 μB per cell
* density of states at the Fermi level: 5.86 states/eV/cell
* total energy: -3.71 eV per atom
* E_form (uncorrected): -196.1 meV per atom
* SG: P-3m1, No. 164

Lattice parameters (Å, degrees): 4.3307 4.3307 24.3744 90.00 90.00 120.00
Last column: nearest neighbours and their distance in Å.
Positions (direct):
Te: 0.0000 0.0000 0.2677  3 Sn 2.99
Sb: 0.0000 0.0000 0.5000  6 Te 3.10
Sn: 0.3333 0.6667 0.6648  6 Te 2.99-3.32
Te: 0.0000 0.0000 0.0000  6 Sn 3.18
Te: 0.6667 0.3333 0.8511  3 Sn 3.00
Te: 0.6667 0.3333 0.5754  3 Sb 3.10, 3 Sn 3.32
Sn: 0.6667 0.3333 0.3352  6 Te 2.99-3.32
Te: 0.0000 0.0000 0.7323  3 Sn 2.99
Sn: 0.6667 0.3333 0.0809  6 Te 3.00-3.18
Te: 0.3333 0.6667 0.4246  3 Sb 3.10, 3 Sn 3.32
Sn: 0.3333 0.6667 0.9191  6 Te 3.00-3.18
Te: 0.3333 0.6667 0.1489  3 Sn 3.00


Pu2BeSnPt6 | PBE | relaxed

Computed properties:
* crystal system: monoclinic
* total magnetic moment: 10.30 μB per cell
* density of states at the Fermi level: 28.70 states/eV/cell
* total energy: -7.81 eV per atom
* energy relative to the elements: -0.550 eV/atom
* SG: C2/m, No. 12

Lattice parameters (Å, degrees): 6.3731 6.7923 8.3570 48.42 52.85 81.02
Last column: nearest neighbours and their distance in Å.
Positions (direct):
Pt: 0.7722 0.7391 0.0149  1 Be 2.36
Sn: 0.5000 0.5000 0.0000  6 Pt 2.63-2.66
Pt: 0.2278 0.2609 0.9851  1 Be 2.36
Pu: 0.7504 0.2502 0.4739  5 Pt 2.89-3.14
Pt: 0.7389 0.7709 0.4743  1 Be 2.36
Pt: 0.7583 0.2404 0.8512  1 Be 2.33
Pu: 0.2496 0.7499 0.5261  5 Pt 2.89-3.14
Pt: 0.2611 0.2291 0.5257  1 Be 2.36
Be: 0.0000 0.0000 0.0000  6 Pt 2.33-2.36
Pt: 0.2417 0.7596 0.1488  1 Be 2.33


CuGe2As | PBE | relaxed

Computed properties:
* crystal system: cubic
* total magnetic moment: 0.00 μB per cell
* density of states at the Fermi level: 1.60 states/eV/cell
* E above lowest polymorph: 74 kJ/mol of formula units
* total energy: -4.13 eV per atom
* energy relative to the elements: 0.366 eV/atom
* SG: Fm-3m, No. 225

Lattice parameters (Å, degrees): 4.6303 4.6303 4.6303 60.00 60.00 60.00
Last column: nearest neighbours and their distance in Å.
Positions (direct):
As: 0.5000 0.5000 0.5000  8 Ge 2.84
Cu: 0.0000 0.0000 0.0000  8 Ge 2.84
Ge: 0.2500 0.2500 0.2500  4 As 2.84, 4 Cu 2.84
Ge: 0.7500 0.7500 0.7500  4 As 2.84, 4 Cu 2.84


AgRhSe2 | PBE | relaxed

Computed properties:
* crystal system: orthorhombic
* total magnetic moment: 0.00 μB per cell
* density of states at the Fermi level: 4.58 states/eV/cell
* total energy: -4.33 eV per atom
* E_form (uncorrected): -39.1 meV per atom
* SG: Cmcm, No. 63

Lattice parameters (Å, degrees): 11.4180 11.4180 4.4643 90.00 90.00 164.15
Last column: nearest neighbours and their distance in Å.
Positions (direct):
Se: 0.0990 0.9010 0.7500  2 Rh 2.50, 2 Ag 2.62
Se: 0.2046 0.7954 0.2500  5 Rh 2.50-2.77
Rh: 0.3150 0.6850 0.2500  7 Se 2.50-2.77
Se: 0.9010 0.0990 0.2500  2 Rh 2.50, 2 Ag 2.62
Se: 0.7954 0.2046 0.7500  5 Rh 2.50-2.77
Ag: 0.0382 0.9618 0.2500  2 Se 2.62, 2 Ag 2.82
Ag: 0.9618 0.0382 0.7500  2 Se 2.62, 2 Ag 2.82
Rh: 0.6850 0.3150 0.7500  7 Se 2.50-2.77


Among the records above, which one has the highest total magnetic moment? Pu3Co


What is the formula in the eighth record? PmY7Tm2